Entry 1:
An optimized crystal structure of KNaMg2Sn, computed with PBE-GGA.

Computed properties:
Total DFT energy (no corrections)   -9.121 eV for the cell shown
Magnetic moment   0.00 μB per cell

Lattice parameters (Å, degrees): 5.6442 5.6442 6.0331 90.00 90.00 90.00
Space group P4/mmm (No. 123)
Inequivalent atoms, fractional coordinates:
K1 0.0000 0.0000 0.0000 x1
Na1 0.5000 0.5000 0.0000 x1
Mg1 0.0000 0.5000 0.5000 x2
Sn1 0.5000 0.5000 0.5000 x1

---

Entry 2:
An optimized crystal structure of GeSN, computed with PBE-GGA.

Computed properties:
Total DFT energy (no corrections)   -33.746 eV for the cell shown
Magnetic moment   0.00 μB per cell

Lattice parameters (Å, degrees): 3.2094 5.1137 6.4472 82.14 76.96 88.93
Space group P1 (No. 1)
Inequivalent atoms, fractional coordinates:
Ge1 0.0000 0.0000 0.0000 x1
Ge2 0.4090 0.4640 0.2077 x1
S1 0.2341 0.9737 0.6465 x1
S2 0.4843 0.3511 0.5486 x1
N1 0.4594 0.1562 0.0777 x1
N2 0.9424 0.6482 0.1272 x1

---

Entry 3:
An optimized crystal structure of Mg6AgPt, computed with PBE-GGA.

Computed properties:
Total DFT energy (no corrections)   -62.564 eV for the cell shown
Magnetic moment   0.00 μB per cell

Lattice parameters (Å, degrees): 4.7220 4.7220 23.3166 90.00 90.00 120.00
Space group R-3m (No. 166, hexagonal axes)
Inequivalent atoms, fractional coordinates:
Mg1 0.0000 0.0000 0.1222 x6
Mg2 0.0000 0.0000 0.2514 x6
Mg3 0.0000 0.0000 0.3719 x6
Ag1 0.0000 0.0000 0.5000 x3
Pt1 0.0000 0.0000 0.0000 x3

---

Entry 4:
An optimized crystal structure of DyYGaSn, computed with PBE-GGA.

Computed properties:
Total DFT energy (no corrections)   -81.265 eV for the cell shown
Magnetic moment   0.00 μB per cell

Lattice parameters (Å, degrees): 7.3857 7.3857 7.3857 90.00 90.00 90.00
Space group F-43m (No. 216)
Inequivalent atoms, fractional coordinates:
Dy1 0.0000 0.0000 0.0000 x4
Y1 0.0000 0.0000 0.5000 x4
Ga1 0.2500 0.2500 0.2500 x4
Sn1 0.2500 0.2500 0.7500 x4

---

Entry 5:
An optimized crystal structure of IrRh2, computed with PBE-GGA.

Computed properties:
Total DFT energy (no corrections)   -21.588 eV for the cell shown
Magnetic moment   0.00 μB per cell

Lattice parameters (Å, degrees): 4.4060 4.4060 2.7215 90.00 90.00 90.00
Space group P4/mmm (No. 123)
Inequivalent atoms, fractional coordinates:
Ir1 0.0000 0.0000 0.0000 x1
Rh1 0.0000 0.5000 0.5000 x2

---

Entry 6:
An optimized crystal structure of BeV2Ni, computed with PBE-GGA.

Computed properties:
Total DFT energy (no corrections)   -28.272 eV for the cell shown
Magnetic moment   0.00 μB per cell

Lattice parameters (Å, degrees): 2.5256 2.5256 7.1302 90.00 90.00 90.00
Space group P4/mmm (No. 123)
Inequivalent atoms, fractional coordinates:
Be1 0.0000 0.0000 0.0000 x1
V1 0.5000 0.5000 0.2369 x2
Ni1 0.0000 0.0000 0.5000 x1

---

Entry 7:
An optimized crystal structure of SrYP3, computed with PBE-GGA.

Computed properties:
Total DFT energy (no corrections)   -25.615 eV for the cell shown
Magnetic moment   0.00 μB per cell

Lattice parameters (Å, degrees): 5.2477 5.2477 5.2477 90.00 90.00 90.00
Space group Pm-3m (No. 221)
Inequivalent atoms, fractional coordinates:
Sr1 0.0000 0.0000 0.0000 x1
Y1 0.5000 0.5000 0.5000 x1
P1 0.0000 0.5000 0.5000 x3

---

Entry 8:
An optimized crystal structure of SbTe2WI, computed with PBE-GGA.

Computed properties:
Total DFT energy (no corrections)   -21.298 eV for the cell shown
Magnetic moment   0.00 μB per cell

Lattice parameters (Å, degrees): 5.3087 5.3087 5.4039 90.00 90.00 90.00
Space group P4/mmm (No. 123)
Inequivalent atoms, fractional coordinates:
Sb1 0.0000 0.0000 0.0000 x1
Te1 0.0000 0.5000 0.5000 x2
W1 0.5000 0.5000 0.5000 x1
I1 0.5000 0.5000 0.0000 x1